# 1
Entry from the Alexandria database: an optimized crystal structure of Pm2NdTh3Te6 (PBE).

a b c (Å): 19.931 4.409 9.078
angles (deg): 90.00 108.27 90.00
Space group C2/m (No. 12)
One atom of each set of equivalent atoms:
Pm (0.167, 0.000, 0.333)
Nd (0.000, 0.500, 0.000)
Th (0.000, 0.500, 0.500)
Th (0.166, 0.000, 0.832)
Te (0.002, 0.000, 0.249)
Te (0.167, 0.500, 0.086)
Te (0.168, 0.500, 0.580)

Calculated values
- volume (A^3/atom) = 31.56
- uncorrected formation energy (kcal/mol of atoms) = -27.62
- VASP energy (eV for the cell shown) = -139.50
- spin magnetization (μB/f.u.) = 0.00

# 2
Entry from the Alexandria database: an optimized crystal structure of Pm2Nd3ThTe6 (PBE).

a b c (Å): 19.474 4.475 8.989
angles (deg): 90.00 102.63 90.00
Space group C2/m (No. 12)
One atom of each set of equivalent atoms:
Pm (0.165, 0.000, 0.331)
Nd (0.000, 0.500, 0.500)
Nd (0.165, 0.000, 0.835)
Th (0.000, 0.500, 0.000)
Te (0.001, 0.000, 0.251)
Te (0.167, 0.500, 0.086)
Te (0.168, 0.500, 0.582)

Calculated values
- volume (A^3/atom) = 31.85
- uncorrected formation energy (kcal/mol of atoms) = -30.96
- VASP energy (eV for the cell shown) = -132.37
- spin magnetization (μB/f.u.) = 0.00

# 3
Entry from the Alexandria database: an optimized crystal structure of PmNd2Tl3Te6 (PBE).

a b c (Å): 7.902 13.687 8.592
angles (deg): 90.00 107.85 90.00
Space group C2/m (No. 12)
One atom of each set of equivalent atoms:
Pm (0.000, 0.000, 0.000)
Nd (0.000, 0.333, 0.000)
Tl (0.000, 0.167, 0.500)
Tl (0.000, 0.500, 0.500)
Te (0.239, 0.166, 0.220)
Te (0.242, 0.500, 0.220)

Calculated values
- volume (A^3/atom) = 36.86
- uncorrected formation energy (kcal/mol of atoms) = -24.80
- VASP energy (eV for the cell shown) = -106.28
- spin magnetization (μB/f.u.) = 0.00

# 4
Entry from the Alexandria database: an optimized crystal structure of Pm2NdTl3Te6 (PBE).

a b c (Å): 7.888 13.661 8.591
angles (deg): 90.00 107.83 90.00
Space group C2/m (No. 12)
One atom of each set of equivalent atoms:
Pm (0.000, 0.167, 0.000)
Nd (0.000, 0.500, 0.000)
Tl (0.000, 0.000, 0.500)
Tl (0.000, 0.334, 0.500)
Te (0.238, 0.000, 0.219)
Te (0.241, 0.333, 0.220)

Calculated values
- volume (A^3/atom) = 36.72
- uncorrected formation energy (kcal/mol of atoms) = -24.79
- VASP energy (eV for the cell shown) = -106.24
- spin magnetization (μB/f.u.) = 0.00

Among the records above, which one has the lowest VASP energy? Pm2NdTh3Te6